# Li2Zn2Cu5, relaxed, DFT PBE-GGA
data_Li2Zn2Cu5
_chemical_formula_sum 'Li4 Zn4 Cu10'
_cell_length_a 9.231
_cell_length_b 4.723
_cell_length_c 7.651
_cell_angle_alpha 107.98
_cell_angle_beta 127.10
_cell_angle_gamma 90.00
_space_group_name_H-M_alt 'P 1'
_space_group_IT_number 1
loop_
_space_group_symop_operation_xyz
'x,y,z'
loop_
_atom_site_label
_atom_site_fract_x
_atom_site_fract_y
_atom_site_fract_z
Li1 0.841 0.415 0.756
Li2 0.159 0.658 0.244
Li3 0.416 0.915 0.756
Li4 0.584 0.158 0.244
Zn1 0.000 0.036 0.000
Zn2 0.500 0.536 0.000
Zn3 0.797 0.788 0.500
Zn4 0.203 0.288 0.500
Cu1 0.802 0.841 0.106
Cu2 0.198 0.735 0.894
Cu3 0.804 0.341 0.106
Cu4 0.196 0.235 0.894
Cu5 0.660 0.892 0.711
Cu6 0.340 0.181 0.289
Cu7 0.552 0.392 0.711
Cu8 0.448 0.681 0.289
Cu9 0.059 0.789 0.500
Cu10 0.941 0.289 0.500
# - Energy: -27.103 eV/f.u.
# - Energy above the lowest structure with this stoichiometry: 65 meV/atom
# - E_form: -0.0274 eV/atom
# - Mass density: 6.26 Mg/m³

---

# Li2Zn2Cu, relaxed, DFT PBE-GGA
data_Li2Zn2Cu
_chemical_formula_sum 'Li4 Zn4 Cu2'
_cell_length_a 6.504
_cell_length_b 6.504
_cell_length_c 3.642
_cell_angle_alpha 90.00
_cell_angle_beta 90.00
_cell_angle_gamma 90.00
_space_group_name_H-M_alt 'P 1'
_space_group_IT_number 1
loop_
_space_group_symop_operation_xyz
'x,y,z'
loop_
_atom_site_label
_atom_site_fract_x
_atom_site_fract_y
_atom_site_fract_z
Zn1 0.362 0.862 0.000
Zn2 0.862 0.638 0.000
Zn3 0.638 0.138 0.000
Zn4 0.138 0.362 0.000
Cu1 0.000 0.000 0.000
Cu2 0.500 0.500 0.000
Li1 0.168 0.668 0.500
Li2 0.668 0.832 0.500
Li3 0.832 0.332 0.500
Li4 0.332 0.168 0.500
# - Energy: -10.651 eV/f.u.
# - Energy above the lowest structure with this stoichiometry: 139 meV/atom
# - E_form: -0.0358 eV/atom
# - Mass density: 4.49 Mg/m³

---

# Li12ZnCu6, relaxed, DFT PBE-GGA
data_Li12ZnCu6
_chemical_formula_sum 'Li12 Zn1 Cu6'
_cell_length_a 6.621
_cell_length_b 6.621
_cell_length_c 6.621
_cell_angle_alpha 88.68
_cell_angle_beta 88.68
_cell_angle_gamma 88.68
_space_group_name_H-M_alt 'P 1'
_space_group_IT_number 1
loop_
_space_group_symop_operation_xyz
'x,y,z'
loop_
_atom_site_label
_atom_site_fract_x
_atom_site_fract_y
_atom_site_fract_z
Li1 0.576 0.192 0.475
Li2 0.192 0.475 0.576
Li3 0.475 0.576 0.192
Li4 0.424 0.808 0.525
Li5 0.808 0.525 0.424
Li6 0.525 0.424 0.808
Li7 0.967 0.848 0.617
Li8 0.383 0.033 0.152
Li9 0.152 0.383 0.033
Li10 0.033 0.152 0.383
Li11 0.617 0.967 0.848
Li12 0.848 0.617 0.967
Zn1 0.000 0.000 0.000
Cu1 0.252 0.109 0.735
Cu2 0.891 0.265 0.748
Cu3 0.265 0.748 0.891
Cu4 0.748 0.891 0.265
Cu5 0.109 0.735 0.252
Cu6 0.735 0.252 0.109
# - Energy: -49.290 eV/f.u.
# - E_form: -0.0249 eV/atom
# - Mass density: 3.03 Mg/m³

---

# Li17Zn11Cu, relaxed, DFT PBE-GGA
data_Li17Zn11Cu
_chemical_formula_sum 'Li17 Zn11 Cu1'
_cell_length_a 8.497
_cell_length_b 8.497
_cell_length_c 8.296
_cell_angle_alpha 108.89
_cell_angle_beta 108.89
_cell_angle_gamma 110.03
_space_group_name_H-M_alt 'P 1'
_space_group_IT_number 1
loop_
_space_group_symop_operation_xyz
'x,y,z'
loop_
_atom_site_label
_atom_site_fract_x
_atom_site_fract_y
_atom_site_fract_z
Li1 0.997 0.997 0.360
Li2 0.675 0.675 0.268
Li3 0.646 0.646 0.644
Li4 0.413 0.413 0.730
Li5 0.000 0.000 0.001
Li6 0.311 0.590 0.002
Li7 0.410 0.719 0.408
Li8 0.001 0.318 0.588
Li9 0.002 0.352 0.997
Li10 0.279 0.689 0.690
Li11 0.588 0.001 0.315
Li12 0.001 0.588 0.315
Li13 0.689 0.279 0.690
Li14 0.352 0.002 0.997
Li15 0.318 0.001 0.588
Li16 0.719 0.410 0.408
Li17 0.590 0.311 0.002
Zn1 0.190 0.190 0.822
Zn2 0.631 0.814 0.003
Zn3 0.187 0.372 0.369
Zn4 0.815 0.000 0.626
Zn5 0.630 0.999 0.811
Zn6 0.820 0.187 0.188
Zn7 0.187 0.820 0.188
Zn8 0.999 0.630 0.811
Zn9 0.000 0.815 0.626
Zn10 0.372 0.187 0.369
Zn11 0.814 0.631 0.003
Cu1 0.364 0.364 0.180
# - Energy: -54.783 eV/f.u.
# - E_form: -0.1427 eV/atom
# - Mass density: 3.22 Mg/m³

---

# Li2ZnCu, relaxed, DFT PBE-GGA
data_Li2ZnCu
_chemical_formula_sum 'Li2 Zn1 Cu1'
_cell_length_a 4.415
_cell_length_b 2.542
_cell_length_c 4.997
_cell_angle_alpha 89.41
_cell_angle_beta 90.00
_cell_angle_gamma 90.00
_space_group_name_H-M_alt 'P 1'
_space_group_IT_number 1
loop_
_space_group_symop_operation_xyz
'x,y,z'
loop_
_atom_site_label
_atom_site_fract_x
_atom_site_fract_y
_atom_site_fract_z
Zn1 0.000 0.611 0.490
Cu1 0.500 0.641 0.764
Li1 0.000 0.119 0.977
Li2 0.500 0.129 0.269
# - Energy: -9.568 eV/f.u.
# - E_form: -0.0925 eV/atom
# - Mass density: 4.23 Mg/m³

---

# LiZn5Cu2, relaxed, DFT PBE-GGA
data_LiZn5Cu2
_chemical_formula_sum 'Li1 Zn5 Cu2'
_cell_length_a 4.142
_cell_length_b 5.783
_cell_length_c 5.783
_cell_angle_alpha 80.63
_cell_angle_beta 69.02
_cell_angle_gamma 69.02
_space_group_name_H-M_alt 'P 1'
_space_group_IT_number 1
loop_
_space_group_symop_operation_xyz
'x,y,z'
loop_
_atom_site_label
_atom_site_fract_x
_atom_site_fract_y
_atom_site_fract_z
Li1 0.000 0.000 0.000
Zn1 0.000 0.500 0.500
Zn2 0.674 0.497 0.155
Zn3 0.326 0.503 0.845
Zn4 0.326 0.845 0.503
Zn5 0.674 0.155 0.497
Cu1 0.680 0.820 0.820
Cu2 0.320 0.180 0.180
# - Energy: -16.562 eV/f.u.
# - Energy above the lowest structure with this stoichiometry: 102 meV/atom
# - E_form: -0.0108 eV/atom
# - Mass density: 6.35 Mg/m³

---

# LiZn4Cu, relaxed, DFT PBE-GGA
data_LiZn4Cu
_chemical_formula_sum 'Li1 Zn4 Cu1'
_cell_length_a 4.249
_cell_length_b 5.066
_cell_length_c 7.461
_cell_angle_alpha 138.10
_cell_angle_beta 90.00
_cell_angle_gamma 114.79
_space_group_name_H-M_alt 'P 1'
_space_group_IT_number 1
loop_
_space_group_symop_operation_xyz
'x,y,z'
loop_
_atom_site_label
_atom_site_fract_x
_atom_site_fract_y
_atom_site_fract_z
Li1 0.500 0.500 0.000
Zn1 0.674 0.848 0.515
Zn2 0.326 0.152 0.485
Zn3 0.830 0.160 0.002
Zn4 0.170 0.840 0.998
Cu1 0.000 0.500 0.500
# - Energy: -11.700 eV/f.u.
# - Energy above the lowest structure with this stoichiometry: 9 meV/atom
# - E_form: -0.0990 eV/atom
# - Mass density: 6.61 Mg/m³

---

# Li2Zn6Cu, relaxed, DFT PBE-GGA
data_Li2Zn6Cu
_chemical_formula_sum 'Li2 Zn6 Cu1'
_cell_length_a 4.130
_cell_length_b 6.230
_cell_length_c 6.461
_cell_angle_alpha 118.83
_cell_angle_beta 90.00
_cell_angle_gamma 90.00
_space_group_name_H-M_alt 'P 1'
_space_group_IT_number 1
loop_
_space_group_symop_operation_xyz
'x,y,z'
loop_
_atom_site_label
_atom_site_fract_x
_atom_site_fract_y
_atom_site_fract_z
Li1 0.500 0.780 0.561
Li2 0.500 0.220 0.439
Zn1 0.000 0.440 0.283
Zn2 0.000 0.157 0.717
Zn3 0.000 0.560 0.717
Zn4 0.500 0.256 0.000
Zn5 0.000 0.843 0.283
Zn6 0.500 0.744 0.000
Cu1 0.000 0.000 0.000
# - Energy: -16.172 eV/f.u.
# - Energy above the lowest structure with this stoichiometry: 59 meV/atom
# - E_form: -0.0672 eV/atom
# - Mass density: 5.36 Mg/m³

---

# LiZn3Cu2, relaxed, DFT PBE-GGA
data_LiZn3Cu2
_chemical_formula_sum 'Li2 Zn6 Cu4'
_cell_length_a 4.813
_cell_length_b 5.413
_cell_length_c 6.994
_cell_angle_alpha 112.77
_cell_angle_beta 90.00
_cell_angle_gamma 90.00
_space_group_name_H-M_alt 'P 1'
_space_group_IT_number 1
loop_
_space_group_symop_operation_xyz
'x,y,z'
loop_
_atom_site_label
_atom_site_fract_x
_atom_site_fract_y
_atom_site_fract_z
Li1 0.750 0.352 0.704
Li2 0.250 0.648 0.296
Zn1 0.750 0.854 0.708
Zn2 0.250 0.146 0.292
Zn3 0.750 0.920 0.350
Zn4 0.250 0.080 0.650
Zn5 0.750 0.429 0.350
Zn6 0.250 0.571 0.650
Cu1 0.000 0.748 0.000
Cu2 0.500 0.252 0.000
Cu3 0.000 0.252 0.000
Cu4 0.500 0.748 0.000
# - Energy: -14.166 eV/f.u.
# - Energy above the lowest structure with this stoichiometry: 38 meV/atom
# - E_form: -0.0397 eV/atom
# - Mass density: 6.53 Mg/m³

---

# LiZn2Cu2, relaxed, DFT PBE-GGA
data_LiZn2Cu2
_chemical_formula_sum 'Li2 Zn4 Cu4'
_cell_length_a 7.226
_cell_length_b 7.226
_cell_length_c 2.718
_cell_angle_alpha 90.00
_cell_angle_beta 90.00
_cell_angle_gamma 90.00
_space_group_name_H-M_alt 'P 1'
_space_group_IT_number 1
loop_
_space_group_symop_operation_xyz
'x,y,z'
loop_
_atom_site_label
_atom_site_fract_x
_atom_site_fract_y
_atom_site_fract_z
Zn1 0.368 0.868 0.000
Zn2 0.868 0.632 0.000
Zn3 0.632 0.132 0.000
Zn4 0.132 0.368 0.000
Cu1 0.167 0.667 0.500
Cu2 0.667 0.833 0.500
Cu3 0.833 0.333 0.500
Cu4 0.333 0.167 0.500
Li1 0.000 0.000 0.000
Li2 0.500 0.500 0.000
# - Energy: -13.230 eV/f.u.
# - Energy above the lowest structure with this stoichiometry: 16 meV/atom
# - E_form: -0.1152 eV/atom
# - Mass density: 6.20 Mg/m³

---

# Li3ZnCu6, relaxed, DFT PBE-GGA
data_Li3ZnCu6
_chemical_formula_sum 'Li6 Zn2 Cu12'
_cell_length_a 4.145
_cell_length_b 7.639
_cell_length_c 9.537
_cell_angle_alpha 90.00
_cell_angle_beta 115.78
_cell_angle_gamma 90.00
_space_group_name_H-M_alt 'P 1'
_space_group_IT_number 1
loop_
_space_group_symop_operation_xyz
'x,y,z'
loop_
_atom_site_label
_atom_site_fract_x
_atom_site_fract_y
_atom_site_fract_z
Li1 0.310 0.841 0.810
Li2 0.500 0.500 0.000
Li3 0.690 0.159 0.190
Li4 0.810 0.659 0.310
Li5 0.000 0.000 0.500
Li6 0.190 0.341 0.690
Zn1 0.500 0.500 0.500
Zn2 0.000 0.000 0.000
Cu1 0.598 0.856 0.098
Cu2 0.565 0.829 0.565
Cu3 0.280 0.896 0.280
Cu4 0.720 0.104 0.720
Cu5 0.435 0.171 0.435
Cu6 0.402 0.144 0.902
Cu7 0.098 0.644 0.598
Cu8 0.065 0.671 0.065
Cu9 0.780 0.604 0.780
Cu10 0.220 0.396 0.220
Cu11 0.935 0.329 0.935
Cu12 0.902 0.356 0.402
# - Energy: -31.697 eV/f.u.
# - E_form: -0.0105 eV/atom
# - Mass density: 5.71 Mg/m³

---

# Li3Zn12Cu, relaxed, DFT PBE-GGA
data_Li3Zn12Cu
_chemical_formula_sum 'Li3 Zn12 Cu1'
_cell_length_a 3.990
_cell_length_b 3.990
_cell_length_c 14.568
_cell_angle_alpha 90.00
_cell_angle_beta 90.00
_cell_angle_gamma 90.00
_space_group_name_H-M_alt 'P 1'
_space_group_IT_number 1
loop_
_space_group_symop_operation_xyz
'x,y,z'
loop_
_atom_site_label
_atom_site_fract_x
_atom_site_fract_y
_atom_site_fract_z
Li1 0.000 0.000 0.245
Li2 0.000 0.000 0.500
Li3 0.000 0.000 0.755
Zn1 0.500 0.500 0.000
Zn2 0.500 0.500 0.244
Zn3 0.500 0.500 0.500
Zn4 0.500 0.500 0.756
Zn5 0.500 0.000 0.120
Zn6 0.500 0.000 0.372
Zn7 0.500 0.000 0.628
Zn8 0.500 0.000 0.880
Zn9 0.000 0.500 0.120
Zn10 0.000 0.500 0.372
Zn11 0.000 0.500 0.628
Zn12 0.000 0.500 0.880
Cu1 0.000 0.000 0.000
# - Energy: -26.793 eV/f.u.
# - E_form: -0.1042 eV/atom
# - Mass density: 6.22 Mg/m³

---

# LiZn5Cu6, relaxed, DFT PBE-GGA
data_LiZn5Cu6
_chemical_formula_sum 'Li1 Zn5 Cu6'
_cell_length_a 3.841
_cell_length_b 7.031
_cell_length_c 7.031
_cell_angle_alpha 110.95
_cell_angle_beta 105.91
_cell_angle_gamma 105.91
_space_group_name_H-M_alt 'P 1'
_space_group_IT_number 1
loop_
_space_group_symop_operation_xyz
'x,y,z'
loop_
_atom_site_label
_atom_site_fract_x
_atom_site_fract_y
_atom_site_fract_z
Zn1 0.500 0.161 0.839
Zn2 0.000 0.330 0.670
Zn3 0.500 0.500 0.500
Zn4 0.000 0.670 0.330
Zn5 0.500 0.839 0.161
Cu1 0.252 0.085 0.418
Cu2 0.748 0.582 0.915
Cu3 0.754 0.254 0.254
Cu4 0.246 0.746 0.746
Cu5 0.252 0.418 0.085
Cu6 0.748 0.915 0.582
Li1 0.000 0.000 0.000
# - Energy: -34.074 eV/f.u.
# - E_form: -0.1011 eV/atom
# - Mass density: 7.65 Mg/m³

---

# Li4Zn4Cu, relaxed, DFT PBE-GGA
data_Li4Zn4Cu
_chemical_formula_sum 'Li4 Zn4 Cu1'
_cell_length_a 3.928
_cell_length_b 6.110
_cell_length_c 6.110
_cell_angle_alpha 84.07
_cell_angle_beta 71.25
_cell_angle_gamma 71.25
_space_group_name_H-M_alt 'P 1'
_space_group_IT_number 1
loop_
_space_group_symop_operation_xyz
'x,y,z'
loop_
_atom_site_label
_atom_site_fract_x
_atom_site_fract_y
_atom_site_fract_z
Li1 0.000 0.682 0.318
Li2 0.000 0.318 0.682
Li3 0.682 0.318 0.318
Li4 0.318 0.682 0.682
Zn1 0.337 0.326 0.000
Zn2 0.663 0.674 0.000
Zn3 0.663 0.000 0.674
Zn4 0.337 0.000 0.326
Cu1 0.000 0.000 0.000
# - Energy: -18.133 eV/f.u.
# - E_form: -0.1428 eV/atom
# - Mass density: 4.46 Mg/m³

---

# Li2ZnCu, relaxed, DFT PBE-GGA
data_Li2ZnCu
_chemical_formula_sum 'Li2 Zn1 Cu1'
_cell_length_a 2.803
_cell_length_b 2.803
_cell_length_c 9.089
_cell_angle_alpha 78.24
_cell_angle_beta 78.24
_cell_angle_gamma 53.62
_space_group_name_H-M_alt 'P 1'
_space_group_IT_number 1
loop_
_space_group_symop_operation_xyz
'x,y,z'
loop_
_atom_site_label
_atom_site_fract_x
_atom_site_fract_y
_atom_site_fract_z
Li1 0.069 0.069 0.760
Li2 0.287 0.287 0.240
Zn1 0.466 0.466 0.500
Cu1 0.678 0.678 0.000
# - Energy: -9.368 eV/f.u.
# - E_form: -0.0424 eV/atom
# - Mass density: 4.24 Mg/m³

---

# Li4Zn2Cu5, relaxed, DFT PBE-GGA
data_Li4Zn2Cu5
_chemical_formula_sum 'Li4 Zn2 Cu5'
_cell_length_a 5.043
_cell_length_b 5.043
_cell_length_c 6.751
_cell_angle_alpha 88.24
_cell_angle_beta 88.24
_cell_angle_gamma 60.97
_space_group_name_H-M_alt 'P 1'
_space_group_IT_number 1
loop_
_space_group_symop_operation_xyz
'x,y,z'
loop_
_atom_site_label
_atom_site_fract_x
_atom_site_fract_y
_atom_site_fract_z
Li1 0.336 0.336 0.476
Li2 0.664 0.664 0.524
Li3 0.653 0.653 0.891
Li4 0.347 0.347 0.109
Zn1 0.156 0.156 0.822
Zn2 0.844 0.844 0.178
Cu1 0.661 0.153 0.802
Cu2 0.339 0.847 0.198
Cu3 0.000 0.000 0.500
Cu4 0.153 0.661 0.802
Cu5 0.847 0.339 0.198
# - Energy: -31.448 eV/f.u.
# - E_form: -0.0694 eV/atom
# - Mass density: 5.27 Mg/m³

---

# Li2ZnCu, relaxed, DFT PBE-GGA
data_Li2ZnCu
_chemical_formula_sum 'Li2 Zn1 Cu1'
_cell_length_a 4.260
_cell_length_b 4.260
_cell_length_c 4.260
_cell_angle_alpha 60.00
_cell_angle_beta 60.00
_cell_angle_gamma 60.00
_space_group_name_H-M_alt 'P 1'
_space_group_IT_number 1
loop_
_space_group_symop_operation_xyz
'x,y,z'
loop_
_atom_site_label
_atom_site_fract_x
_atom_site_fract_y
_atom_site_fract_z
Zn1 0.750 0.750 0.750
Cu1 0.500 0.500 0.500
Li1 0.000 0.000 0.000
Li2 0.250 0.250 0.250
# - Energy: -9.764 eV/f.u.
# - E_form: -0.1415 eV/atom
# - Mass density: 4.34 Mg/m³

---

# LiZn2Cu, relaxed, DFT PBE-GGA
data_LiZn2Cu
_chemical_formula_sum 'Li1 Zn2 Cu1'
_cell_length_a 4.721
_cell_length_b 4.721
_cell_length_c 4.721
_cell_angle_alpha 133.80
_cell_angle_beta 133.80
_cell_angle_gamma 67.39
_space_group_name_H-M_alt 'P 1'
_space_group_IT_number 1
loop_
_space_group_symop_operation_xyz
'x,y,z'
loop_
_atom_site_label
_atom_site_fract_x
_atom_site_fract_y
_atom_site_fract_z
Zn1 0.000 0.000 0.000
Zn2 0.250 0.750 0.500
Cu1 0.500 0.500 0.000
Li1 0.750 0.250 0.500
# - Energy: -9.140 eV/f.u.
# - E_form: -0.1455 eV/atom
# - Mass density: 6.20 Mg/m³

---

# Li3Zn2Cu4, relaxed, DFT PBE-GGA
data_Li3Zn2Cu4
_chemical_formula_sum 'Li3 Zn2 Cu4'
_cell_length_a 3.684
_cell_length_b 4.511
_cell_length_c 8.013
_cell_angle_alpha 74.40
_cell_angle_beta 90.00
_cell_angle_gamma 114.10
_space_group_name_H-M_alt 'P 1'
_space_group_IT_number 1
loop_
_space_group_symop_operation_xyz
'x,y,z'
loop_
_atom_site_label
_atom_site_fract_x
_atom_site_fract_y
_atom_site_fract_z
Li1 0.337 0.674 0.555
Li2 0.000 0.000 0.000
Li3 0.663 0.326 0.445
Zn1 0.337 0.674 0.218
Zn2 0.663 0.326 0.782
Cu1 0.669 0.338 0.110
Cu2 0.992 0.983 0.673
Cu3 0.008 0.017 0.327
Cu4 0.331 0.662 0.890
# - Energy: -25.651 eV/f.u.
# - Energy above the lowest structure with this stoichiometry: 0 meV/atom
# - E_form: -0.1086 eV/atom
# - Mass density: 5.80 Mg/m³

---

# LiZnCu6, relaxed, DFT PBE-GGA
data_LiZnCu6
_chemical_formula_sum 'Li1 Zn1 Cu6'
_cell_length_a 4.971
_cell_length_b 4.971
_cell_length_c 4.971
_cell_angle_alpha 81.75
_cell_angle_beta 81.75
_cell_angle_gamma 81.75
_space_group_name_H-M_alt 'P 1'
_space_group_IT_number 1
loop_
_space_group_symop_operation_xyz
'x,y,z'
loop_
_atom_site_label
_atom_site_fract_x
_atom_site_fract_y
_atom_site_fract_z
Li1 0.500 0.500 0.500
Zn1 0.000 0.000 0.000
Cu1 0.156 0.528 0.156
Cu2 0.156 0.156 0.528
Cu3 0.844 0.472 0.844
Cu4 0.472 0.844 0.844
Cu5 0.844 0.844 0.472
Cu6 0.528 0.156 0.156
# - Energy: -25.589 eV/f.u.
# - Energy above the lowest structure with this stoichiometry: 322 meV/atom
# - E_form: 0.2720 eV/atom
# - Mass density: 6.31 Mg/m³